(w)
The following is a DFT calculation (SCAN) of a PBEsol-optimized structure of KCu2Au.

Cell and atoms, written as extended XYZ:
```
4
Lattice="-2.498 0.848 -3.806 0.719 -2.483 -3.842 -3.180 -3.056 -1.410" Properties=species:S:1:pos:R:3 pbc="T T T"
Au 0.000 0.000 0.000
Cu -1.240 -1.173 -2.265
Cu -3.720 -3.519 -6.794
K -2.480 -2.346 -4.529
```

***

(x)
The following is a DFT calculation (SCAN) of a PBEsol-optimized structure of KCu2Au.

Cell and atoms, written as extended XYZ:
```
4
Lattice="-1.049 0.327 2.527 -3.219 -2.026 -1.075 3.066 -5.953 2.042" Properties=species:S:1:pos:R:3 pbc="T T T"
Au -0.601 -3.827 1.747
Cu 2.053 -3.987 1.367
Cu 1.013 -1.967 0.675
K -2.134 -0.850 0.726
```

***

Quick ranking, most stable first: (x), (w).